## TcMo5 (GGA-PBE)

Data for crystalline TcMo5 at its relaxed geometry.

## Properties
Its formation energy is 355 meV per atom. Its total energy is -10.3981 eV per atom. Its energy above the most stable polymorph in this dataset is 338 meV per atom.

a b c (Å): 5.5396 5.5396 5.5396
angles (deg): 51.20 51.20 51.20
Last column: nearest neighbours and their distance in Å.
Positions (direct):
Tc: 0.0000 0.0000 0.0000  12 Mo 2.76-2.88
Mo: 0.1679 0.8321 0.5000  10 Mo 2.75-2.90, 2 Tc 2.88
Mo: 0.3314 0.3314 0.3314  3 Tc 2.76, 9 Mo 2.76-2.90
Mo: 0.5000 0.1679 0.8321  10 Mo 2.75-2.90, 2 Tc 2.88
Mo: 0.6686 0.6686 0.6686  3 Tc 2.76, 9 Mo 2.76-2.90
Mo: 0.8321 0.5000 0.1679  10 Mo 2.75-2.90, 2 Tc 2.88

=====

## TcMo5 (GGA-PBE)

Data for crystalline TcMo5 at its relaxed geometry.

## Properties
Its formation energy is 319 meV per atom. Its total energy is -10.4346 eV per atom. Its energy above the most stable polymorph in this dataset is 302 meV per atom.

a b c (Å): 4.7033 7.9172 7.9172
angles (deg): 18.88 90.00 90.00
Last column: nearest neighbours and their distance in Å.
Positions (direct):
Tc: 0.0000 0.0000 0.0000  2 Tc 2.60, 10 Mo 2.83-2.90
Mo: 0.0000 0.3341 0.3341  8 Mo 2.60-2.88, 2 Tc 2.90
Mo: 0.0000 0.6637 0.6637  8 Mo 2.60-2.89, 2 Tc 2.87
Mo: 0.5000 0.2315 0.2315  8 Mo 2.60-2.89
Mo: 0.5000 0.5633 0.5633  6 Mo 2.60-2.87, 4 Tc 2.86
Mo: 0.5000 0.8997 0.8997  8 Mo 2.60-2.88, 2 Tc 2.83

=====

## Tc4Mo3 (GGA-PBE)

Data for crystalline Tc4Mo3 at its relaxed geometry.

## Properties
Its formation energy is 116 meV per atom. Its total energy is -10.4494 eV per atom. Its energy above the most stable polymorph in this dataset is 0 meV per atom.

a b c (Å): 11.1952 11.1952 11.1952
angles (deg): 163.98 163.98 22.73
Last column: nearest neighbours and their distance in Å.
Positions (direct):
Tc: 0.0681 0.0681 0.0000  4 Mo 2.67, 4 Tc 2.79
Tc: 0.3542 0.3542 0.0000  4 Mo 2.65, 4 Tc 2.79
Tc: 0.6458 0.6458 0.0000  4 Mo 2.65, 4 Tc 2.79
Tc: 0.9319 0.9319 0.0000  4 Mo 2.67, 4 Tc 2.79
Mo: 0.2131 0.2131 0.0000  4 Tc 2.65, 4 Mo 2.74
Mo: 0.5000 0.5000 0.0000  8 Tc 2.67
Mo: 0.7869 0.7869 0.0000  4 Tc 2.65, 4 Mo 2.74

=====

## TcMo2 (GGA-PBE)

Data for crystalline TcMo2 at its relaxed geometry.

## Properties
Its formation energy is 293 meV per atom. Its total energy is -10.3826 eV per atom. Its energy above the most stable polymorph in this dataset is 243 meV per atom.

a b c (Å): 5.4003 5.4003 5.4003
angles (deg): 53.09 53.09 53.09
Last column: nearest neighbours and their distance in Å.
Positions (direct):
Tc: 0.1647 0.1647 0.1647  9 Mo 2.79-2.84, 3 Tc 2.79
Tc: 0.8353 0.8353 0.8353  9 Mo 2.79-2.84, 3 Tc 2.79
Mo: 0.0000 0.6662 0.3338  8 Mo 2.78-2.82, 4 Tc 2.80-2.84
Mo: 0.3338 0.0000 0.6662  8 Mo 2.78-2.82, 4 Tc 2.80-2.84
Mo: 0.5000 0.5000 0.5000  6 Tc 2.79, 6 Mo 2.82
Mo: 0.6662 0.3338 0.0000  8 Mo 2.78-2.82, 4 Tc 2.80-2.84

=====

## TcMo2 (GGA-PBE)

Data for crystalline TcMo2 at its relaxed geometry.

## Properties
Its formation energy is 107 meV per atom. Its total energy is -10.5695 eV per atom. Its energy above the most stable polymorph in this dataset is 56 meV per atom.

a b c (Å): 5.3729 4.3850 7.9290
angles (deg): 90.00 90.00 90.00
Last column: nearest neighbours and their distance in Å.
Positions (direct):
Tc: 0.1688 0.2500 0.0731  8 Mo 2.66-2.78
Tc: 0.3312 0.7500 0.5731  8 Mo 2.66-2.78
Tc: 0.6688 0.2500 0.4269  8 Mo 2.66-2.78
Tc: 0.8312 0.7500 0.9269  8 Mo 2.66-2.78
Mo: 0.0096 0.2500 0.7480  5 Mo 2.69-2.75, 3 Tc 2.72-2.78
Mo: 0.1690 0.2500 0.4178  5 Tc 2.66-2.73, 3 Mo 2.73-2.75
Mo: 0.3310 0.7500 0.9178  5 Tc 2.66-2.73, 3 Mo 2.73-2.75
Mo: 0.4904 0.7500 0.2480  5 Mo 2.69-2.75, 3 Tc 2.72-2.78
Mo: 0.5096 0.2500 0.7520  5 Mo 2.69-2.75, 3 Tc 2.72-2.78
Mo: 0.6690 0.2500 0.0822  5 Tc 2.66-2.73, 3 Mo 2.73-2.75
Mo: 0.8310 0.7500 0.5822  5 Tc 2.66-2.73, 3 Mo 2.73-2.75
Mo: 0.9904 0.7500 0.2520  5 Mo 2.69-2.75, 3 Tc 2.72-2.78

=====

## Tc3Mo (GGA-PBE)

Data for crystalline Tc3Mo at its relaxed geometry.

## Properties
Its formation energy is 177 meV per atom. Its total energy is -10.3056 eV per atom. Its energy above the most stable polymorph in this dataset is 106 meV per atom.

a b c (Å): 4.3886 4.3886 3.1167
angles (deg): 90.00 90.00 90.00
Last column: nearest neighbours and their distance in Å.
Positions (direct):
Tc: 0.0000 0.0000 0.0000  8 Tc 2.69
Tc: 0.0000 0.5000 0.5000  4 Mo 2.69, 4 Tc 2.69
Tc: 0.5000 0.0000 0.5000  4 Mo 2.69, 4 Tc 2.69
Mo: 0.5000 0.5000 0.0000  8 Tc 2.69

=====

## TcMo2 (GGA-PBE)

Data for crystalline TcMo2 at its relaxed geometry.

## Properties
Its formation energy is 162 meV per atom. Its total energy is -10.5138 eV per atom. Its energy above the most stable polymorph in this dataset is 112 meV per atom.

a b c (Å): 2.6900 7.9248 4.3842
angles (deg): 90.00 90.00 90.00
Last column: nearest neighbours and their distance in Å.
Positions (direct):
Tc: 0.0000 0.0000 0.0000  6 Mo 2.69-2.73, 2 Tc 2.69
Tc: 0.5000 0.5000 0.5000  6 Mo 2.69-2.73, 2 Tc 2.69
Mo: 0.1684 0.3392 0.0000  3 Tc 2.69-2.73, 7 Mo 2.69-2.93
Mo: 0.3316 0.8392 0.5000  3 Tc 2.69-2.73, 7 Mo 2.69-2.93
Mo: 0.6684 0.1608 0.5000  3 Tc 2.69-2.73, 7 Mo 2.69-2.93
Mo: 0.8316 0.6608 0.0000  3 Tc 2.69-2.73, 7 Mo 2.69-2.93

=====

## Tc5Mo3 (GGA-PBE)

Data for crystalline Tc5Mo3 at its relaxed geometry.

## Properties
Its formation energy is 141 meV per atom. Its total energy is -10.3993 eV per atom.

a b c (Å): 5.5517 5.5517 3.9292
angles (deg): 90.00 90.00 90.66
Last column: nearest neighbours and their distance in Å.
Positions (direct):
Tc: 0.0000 0.0000 0.0000  4 Mo 2.73, 8 Tc 2.78-2.79
Tc: 0.0000 0.5000 0.0000  6 Mo 2.77-2.78, 6 Tc 2.78-2.79
Tc: 0.2544 0.2544 0.5000  6 Mo 2.74-2.81, 6 Tc 2.79
Tc: 0.5000 0.0000 0.0000  6 Mo 2.77-2.78, 6 Tc 2.78-2.79
Tc: 0.7456 0.7456 0.5000  6 Mo 2.74-2.81, 6 Tc 2.79
Mo: 0.2396 0.7604 0.5000  10 Tc 2.73-2.81, 2 Mo 2.84
Mo: 0.5000 0.5000 0.0000  8 Tc 2.74-2.78, 4 Mo 2.84
Mo: 0.7604 0.2396 0.5000  10 Tc 2.73-2.81, 2 Mo 2.84

=====

## Tc3Mo (GGA-PBE)

Data for crystalline Tc3Mo at its relaxed geometry.

## Properties
Its formation energy is 89 meV per atom. Its total energy is -10.3929 eV per atom. Its energy above the most stable polymorph in this dataset is 19 meV per atom.

a b c (Å): 5.2786 5.2786 5.2786
angles (deg): 149.53 63.26 126.03
Last column: nearest neighbours and their distance in Å.
Positions (direct):
Tc: 0.0000 0.0000 0.0000  8 Tc 2.68-2.84, 4 Mo 2.73-2.80
Tc: 0.0688 0.3307 0.7381  9 Tc 2.68-2.84, 3 Mo 2.69-2.84
Tc: 0.5927 0.3307 0.2619  9 Tc 2.68-2.84, 3 Mo 2.69-2.84
Mo: 0.4912 0.9912 0.5000  10 Tc 2.69-2.84, 2 Mo 2.77

=====

## Tc3Mo (GGA-PBE)

Data for crystalline Tc3Mo at its relaxed geometry.

## Properties
Its formation energy is 106 meV per atom. Its total energy is -10.3762 eV per atom. Its energy above the most stable polymorph in this dataset is 36 meV per atom.

a b c (Å): 3.9090 3.9090 3.9090
angles (deg): 90.00 90.00 90.00
Last column: nearest neighbours and their distance in Å.
Positions (direct):
Tc: 0.0000 0.0000 0.5000  4 Mo 2.76, 8 Tc 2.76
Tc: 0.0000 0.5000 0.0000  4 Mo 2.76, 8 Tc 2.76
Tc: 0.5000 0.0000 0.0000  4 Mo 2.76, 8 Tc 2.76
Mo: 0.5000 0.5000 0.5000  12 Tc 2.76

=====

## TcMo2 (GGA-PBE)

Data for crystalline TcMo2 at its relaxed geometry.

## Properties
Its formation energy is 72 meV per atom. Its total energy is -10.6039 eV per atom. Its energy above the most stable polymorph in this dataset is 22 meV per atom.

a b c (Å): 4.4252 4.4252 2.7360
angles (deg): 90.00 90.00 120.00
Last column: nearest neighbours and their distance in Å.
Positions (direct):
Tc: 0.0000 0.0000 0.0000  6 Mo 2.72, 2 Tc 2.74
Mo: 0.3333 0.6667 0.3430  5 Mo 2.70-2.74, 3 Tc 2.72
Mo: 0.6667 0.3333 0.6570  5 Mo 2.70-2.74, 3 Tc 2.72

=====

## TcMo2 (GGA-PBE)

Data for crystalline TcMo2 at its relaxed geometry.

## Properties
Its formation energy is 54 meV per atom. Its total energy is -10.6218 eV per atom. Its energy above the most stable polymorph in this dataset is 4 meV per atom.

a b c (Å): 5.2028 5.2028 5.2028
angles (deg): 144.85 144.85 50.56
Last column: nearest neighbours and their distance in Å.
Positions (direct):
Tc: 0.0000 0.0000 0.0000  8 Mo 2.73
Mo: 0.3317 0.3317 0.0000  4 Mo 2.70, 4 Tc 2.73
Mo: 0.6683 0.6683 0.0000  4 Mo 2.70, 4 Tc 2.73

=====

## TcMo2 (GGA-PBE)

Data for crystalline TcMo2 at its relaxed geometry.

## Properties
Its formation energy is 880 meV per atom. Its total energy is -9.7966 eV per atom. Its energy above the most stable polymorph in this dataset is 829 meV per atom.

a b c (Å): 4.2265 4.2265 3.0436
angles (deg): 90.00 90.00 90.00
Last column: nearest neighbours and their distance in Å.
Positions (direct):
Tc: 0.0000 0.0000 0.0000  8 Mo 2.60
Mo: 0.0000 0.5000 0.5000  4 Tc 2.60
Mo: 0.5000 0.0000 0.5000  4 Tc 2.60

=====

## TcMo7 (GGA-PBE)

Data for crystalline TcMo7 at its relaxed geometry.

## Properties
Its formation energy is 342 meV per atom. Its total energy is -10.4308 eV per atom. Its energy above the most stable polymorph in this dataset is 327 meV per atom.

a b c (Å): 5.6393 5.6393 5.6393
angles (deg): 60.00 60.00 60.00
Last column: nearest neighbours and their distance in Å.
Positions (direct):
Tc: 0.0000 0.0000 0.0000  12 Mo 2.82
Mo: 0.0000 0.0000 0.5000  10 Mo 2.82, 2 Tc 2.82
Mo: 0.0000 0.5000 0.0000  10 Mo 2.82, 2 Tc 2.82
Mo: 0.0000 0.5000 0.5000  10 Mo 2.82, 2 Tc 2.82
Mo: 0.5000 0.0000 0.0000  10 Mo 2.82, 2 Tc 2.82
Mo: 0.5000 0.0000 0.5000  10 Mo 2.82, 2 Tc 2.82
Mo: 0.5000 0.5000 0.0000  10 Mo 2.82, 2 Tc 2.82
Mo: 0.5000 0.5000 0.5000  12 Mo 2.82

=====

## TcMo2 (GGA-PBE)

Data for crystalline TcMo2 at its relaxed geometry.

## Properties
Its formation energy is 1056 meV per atom. Its total energy is -9.6201 eV per atom. Its energy above the most stable polymorph in this dataset is 1005 meV per atom.

a b c (Å): 6.0155 6.0155 6.0155
angles (deg): 90.00 90.00 90.00
Last column: nearest neighbours and their distance in Å.
Positions (direct):
Tc: 0.0000 0.0000 0.0000  6 Mo 2.49
Tc: 0.0000 0.5000 0.5000  6 Mo 2.49
Tc: 0.5000 0.0000 0.5000  6 Mo 2.49
Tc: 0.5000 0.5000 0.0000  6 Mo 2.49
Mo: 0.1265 0.6265 0.8735  3 Tc 2.49, 1 Mo 2.64
Mo: 0.1265 0.8735 0.3735  3 Tc 2.49, 1 Mo 2.64
Mo: 0.3735 0.1265 0.8735  3 Tc 2.49, 1 Mo 2.64
Mo: 0.3735 0.3735 0.3735  3 Tc 2.49, 1 Mo 2.64
Mo: 0.6265 0.6265 0.6265  3 Tc 2.49, 1 Mo 2.64
Mo: 0.6265 0.8735 0.1265  3 Tc 2.49, 1 Mo 2.64
Mo: 0.8735 0.1265 0.6265  3 Tc 2.49, 1 Mo 2.64
Mo: 0.8735 0.3735 0.1265  3 Tc 2.49, 1 Mo 2.64

=====

## TcMo2 (GGA-PBE)

Data for crystalline TcMo2 at its relaxed geometry.

## Properties
Its formation energy is 365 meV per atom. Its total energy is -10.3110 eV per atom. Its energy above the most stable polymorph in this dataset is 314 meV per atom.

a b c (Å): 5.1444 5.1444 5.1444
angles (deg): 60.00 60.00 60.00
Last column: nearest neighbours and their distance in Å.
Positions (direct):
Tc: 0.1250 0.1250 0.1250  12 Mo 3.02, 4 Tc 3.15
Tc: 0.8750 0.8750 0.8750  12 Mo 3.02, 4 Tc 3.15
Mo: 0.0000 0.5000 0.5000  6 Mo 2.57
Mo: 0.5000 0.0000 0.5000  6 Mo 2.57
Mo: 0.5000 0.5000 0.0000  6 Mo 2.57
Mo: 0.5000 0.5000 0.5000  6 Mo 2.57

=====

## Tc3Mo (GGA-PBE)

Data for crystalline Tc3Mo at its relaxed geometry.

## Properties
Its formation energy is 118 meV per atom. Its total energy is -10.3640 eV per atom. Its energy above the most stable polymorph in this dataset is 48 meV per atom.

a b c (Å): 2.7619 3.9112 5.5400
angles (deg): 90.00 90.00 90.00
Last column: nearest neighbours and their distance in Å.
Positions (direct):
Tc: 0.0000 0.0000 0.0000  10 Tc 2.75-2.76, 2 Mo 2.77
Tc: 0.5000 0.5000 0.2441  8 Tc 2.70-2.84, 4 Mo 2.78
Tc: 0.5000 0.5000 0.7559  8 Tc 2.70-2.84, 4 Mo 2.78
Mo: 0.0000 0.0000 0.5000  2 Mo 2.76, 10 Tc 2.77-2.78

=====

## TcMo2 (GGA-PBE)

Data for crystalline TcMo2 at its relaxed geometry.

## Properties
Its formation energy is 279 meV per atom. Its total energy is -10.3973 eV per atom. Its energy above the most stable polymorph in this dataset is 228 meV per atom.

a b c (Å): 4.6007 4.6007 5.1391
angles (deg): 90.00 90.00 120.00
Last column: nearest neighbours and their distance in Å.
Positions (direct):
Tc: 0.3333 0.6667 0.2500  5 Mo 2.57-2.66
Tc: 0.6667 0.3333 0.7500  5 Mo 2.57-2.66
Mo: 0.0000 0.0000 0.0000  2 Mo 2.57
Mo: 0.0000 0.0000 0.5000  2 Mo 2.57
Mo: 0.3333 0.6667 0.7500  5 Tc 2.57-2.66
Mo: 0.6667 0.3333 0.2500  5 Tc 2.57-2.66

=====

## TcMo2 (GGA-PBE)

Data for crystalline TcMo2 at its relaxed geometry.

## Properties
Its formation energy is 289 meV per atom. Its total energy is -10.3871 eV per atom. Its energy above the most stable polymorph in this dataset is 238 meV per atom.

a b c (Å): 4.8260 4.8260 4.6259
angles (deg): 90.00 90.00 120.00
Last column: nearest neighbours and their distance in Å.
Positions (direct):
Tc: 0.3333 0.6667 0.0000  9 Mo 2.79-2.81, 3 Tc 2.79
Tc: 0.6667 0.3333 0.0000  9 Mo 2.79-2.81, 3 Tc 2.79
Mo: 0.0000 0.0000 0.0000  6 Tc 2.79, 6 Mo 2.82
Mo: 0.0000 0.6642 0.5000  8 Mo 2.78-2.82, 4 Tc 2.81
Mo: 0.3358 0.3358 0.5000  8 Mo 2.78-2.82, 4 Tc 2.81
Mo: 0.6642 0.0000 0.5000  8 Mo 2.78-2.82, 4 Tc 2.81

=====

## Tc3Mo (GGA-PBE)

Data for crystalline Tc3Mo at its relaxed geometry.

## Properties
Its formation energy is 114 meV per atom. Its total energy is -10.3684 eV per atom. Its energy above the most stable polymorph in this dataset is 43 meV per atom.

a b c (Å): 8.2835 8.2835 8.2835
angles (deg): 152.67 152.67 39.04
Last column: nearest neighbours and their distance in Å.
Positions (direct):
Tc: 0.0000 0.5000 0.5000  4 Mo 2.74, 8 Tc 2.77-2.79
Tc: 0.1272 0.1272 0.0000  8 Tc 2.74-2.79, 4 Mo 2.77
Tc: 0.2500 0.7500 0.5000  8 Tc 2.74-2.77, 4 Mo 2.79
Tc: 0.5000 0.0000 0.5000  4 Mo 2.74, 8 Tc 2.77-2.79
Tc: 0.7500 0.2500 0.5000  8 Tc 2.74-2.77, 4 Mo 2.79
Tc: 0.8728 0.8728 0.0000  8 Tc 2.74-2.79, 4 Mo 2.77
Mo: 0.3774 0.3774 0.0000  12 Tc 2.74-2.79
Mo: 0.6226 0.6226 0.0000  12 Tc 2.74-2.79